A plane-wave DFT calculation with SCAN was carried out for a crystal of TcAu2Cl relaxed with PBEsol.

Lattice parameters (Å, degrees): 2.9042 2.9042 7.9173 90.00 90.00 90.00
With the nearest neighbours (Å) after each atom.
Fractional coordinates of all 4 atoms:
Tc: 0.0000 0.0000 0.0000  8 Au 2.76, 4 Tc 2.90
Au: 0.5000 0.5000 0.2326  4 Tc 2.76, 4 Au 2.90, 4 Cl 2.95
Au: 0.5000 0.5000 0.7674  4 Tc 2.76, 4 Au 2.90, 4 Cl 2.95
Cl: 0.0000 0.0000 0.5000  4 Cl 2.90, 8 Au 2.95

Results
space-group type = P4/mmm (123)
E above lowest polymorph = 1.12 eV/f.u.
VASP energy = -179.725 eV/cell
magnetic moment = 0.00 μB per cell
Fermi-level density of states = 0.67 states/eV/atom
formation energy without anion corrections = 0.41 eV per atom